Compound: BaTiTcRu2
Source: the Alexandria database
Functional: GGA-PBEsol
Structure: relaxed

Calculated values
Space-group type: P4/mmm (123)
Formation energy from the elements in eV per atom: 0.821
V in Å³ per atom: 21.2
Electronic total energy in eV/atom: -7.595
Fermi-level density of states in states/eV/f.u.: 4.06

Geometry as POSCAR:
```
BaTiTcRu2
1.0
4.766 0.000 0.000
0.000 4.766 0.000
0.000 0.000 4.657
Ba Ti Tc Ru
1 1 1 2
Direct
0.000 0.000 0.000 Ba
0.500 0.500 0.000 Ti
0.500 0.500 0.500 Tc
0.000 0.500 0.500 Ru
0.500 0.000 0.500 Ru
```